5
Lattice="-1.885 2.215 -2.486 1.706 -1.811 -2.906 -3.881 -3.448 -0.130" Properties=species:S:1:pos:R:3 comment="AgMoPO2 PBE+U optimized geometry" total_magnetization_mub_per_fu=0.00 n_ef_per_ev_fu=0.995 spacegroup="P4/mmm (123)" e_above_lowest_polymorph_mev_per_atom=0 pbc="T T T"
Ag -2.030 -1.522 -2.761
Mo 0.000 0.000 0.000
O -0.942 1.107 -1.243
O 0.853 -0.905 -1.453
P -1.941 -1.724 -0.065